Below is a relaxed structure of KSbI2O, with properties calculated at the PBE-GGA level.

The structure in POSCAR format:
```
KSbI2O
1.0
-3.9826 3.1546 -4.2099
0.3418 -5.1139 -4.1553
-3.2269 -1.6758 1.7969
Sb O I K
1 1 2 1
Direct
0.0000 0.0000 0.5000
0.0000 0.0000 0.0000
0.0000 0.5000 0.0000
0.5000 0.0000 0.0000
0.5000 0.5000 0.5000
```

Properties
For the relative energy among the computed polymorphs, the calculation gives 394 meV/atom. The value obtained for the total DFT energy (no corrections) is -15.74 eV for the cell shown. For the density of states at the Fermi level, the calculation gives 4.08 states/eV/cell.